Record 1
KErPdF6 | PBE | relaxed

Geometry as CIF:
```
data_KErPdF6
_space_group_name_H-M_alt 'P 1'
_space_group_IT_number 1
_cell_length_a 5.716
_cell_length_b 5.733
_cell_length_c 5.771
_cell_angle_alpha 92.87
_cell_angle_beta 113.09
_cell_angle_gamma 93.11
loop_
_space_group_symop_operation_xyz
'x,y,z'
loop_
_atom_site_label
_atom_site_type_symbol
_atom_site_fract_x
_atom_site_fract_y
_atom_site_fract_z
K1 K 0.000 0.000 0.000
Er1 Er 0.661 0.498 0.338
Pd1 Pd 0.312 0.499 0.687
F1 F 0.306 0.331 0.370
F2 F 0.355 0.660 0.023
F3 F 0.630 0.669 0.688
F4 F 0.654 0.226 0.088
F5 F 0.918 0.763 0.337
F6 F 0.974 0.335 0.647
```

Computed properties:
VASP energy = -5.261 eV/atom
spin magnetization = 0.07 μB per formula unit
formation energy from raw total energies = -64.7 kcal/mol of atoms

Record 2
KAuCS2 | PBE | relaxed

Geometry as CIF:
```
data_KAuCS2
_space_group_name_H-M_alt 'P 4/m m m'
_space_group_IT_number 123
_space_group_name_Hall '-P 4 2'
_cell_length_a 4.779
_cell_length_b 4.779
_cell_length_c 4.130
_cell_angle_alpha 90.00
_cell_angle_beta 90.00
_cell_angle_gamma 90.00
loop_
_atom_site_label
_atom_site_type_symbol
_atom_site_fract_x
_atom_site_fract_y
_atom_site_fract_z
K1 K 0.000 0.000 0.000
Au1 Au 0.500 0.500 0.000
C1 C 0.500 0.500 0.500
S1 S 0.000 0.500 0.500
```

Computed properties:
VASP energy = -3.659 eV/atom
N(E_F) = 0.459 states/eV per atom
spin magnetization = 0.00 μB per formula unit
formation energy from raw total energies = 16.4 kcal/mol of atoms

- Among the records above, which one has the highest spin magnetization?
  KErPdF6

Please write out number 1 again, unchanged.
KErPdF6 | PBE | relaxed

Geometry as CIF:
```
data_KErPdF6
_space_group_name_H-M_alt 'P 1'
_space_group_IT_number 1
_cell_length_a 5.716
_cell_length_b 5.733
_cell_length_c 5.771
_cell_angle_alpha 92.87
_cell_angle_beta 113.09
_cell_angle_gamma 93.11
loop_
_space_group_symop_operation_xyz
'x,y,z'
loop_
_atom_site_label
_atom_site_type_symbol
_atom_site_fract_x
_atom_site_fract_y
_atom_site_fract_z
K1 K 0.000 0.000 0.000
Er1 Er 0.661 0.498 0.338
Pd1 Pd 0.312 0.499 0.687
F1 F 0.306 0.331 0.370
F2 F 0.355 0.660 0.023
F3 F 0.630 0.669 0.688
F4 F 0.654 0.226 0.088
F5 F 0.918 0.763 0.337
F6 F 0.974 0.335 0.647
```

Computed properties:
VASP energy = -5.261 eV/atom
spin magnetization = 0.07 μB per formula unit
formation energy from raw total energies = -64.7 kcal/mol of atoms